18
Lattice="7.222 0.000 0.000 0.000 7.222 0.000 0.000 0.000 10.895" Properties=species:S:1:pos:R:3 comment="PmSm4In4 PBE optimized geometry" dos_at_fermi_per_ev_atom=0.77 total_magnetization_mub_per_cell=0.00 total_energy_ry_per_atom=-0.29381 crystal_system=tetragonal pbc="T T T"
In 1.640 3.611 2.411
In 3.611 1.640 8.484
In 0.000 1.971 7.859
Sm 3.611 1.627 0.849
In 5.251 0.000 3.036
Sm 1.984 0.000 6.296
Pm 0.000 0.000 0.000
Sm 5.238 0.000 6.296
Pm 3.611 3.611 5.447
In 3.611 5.583 8.484
Sm 0.000 1.984 4.598
In 5.583 3.611 2.411
Sm 3.611 5.595 0.849
In 0.000 5.251 7.859
In 1.971 0.000 3.036
Sm 1.627 3.611 10.046
Sm 5.595 3.611 10.046
Sm 0.000 5.238 4.598

=====

12
Lattice="-0.895 -0.153 3.548 -4.292 -3.587 -1.237 12.433 -13.808 2.540" Properties=species:S:1:pos:R:3 comment="Pm3Sm7In2 PBE optimized geometry" dos_at_fermi_per_ev_atom=1.39 total_magnetization_mub_per_cell=0.00 total_energy_ry_per_atom=-0.32664 crystal_system=monoclinic pbc="T T T"
Sm 0.000 0.000 0.000
Sm 9.147 -12.904 1.750
Pm 3.543 -5.771 0.645
Sm 0.945 -3.080 1.996
Sm -1.006 -4.491 -0.447
In 0.191 -6.666 1.651
Sm 2.118 -9.120 2.031
Pm 4.598 -11.624 0.659
Pm -2.593 -1.870 1.156
In 7.055 -10.882 3.200
Sm 6.301 -14.468 2.856
Sm 5.128 -8.427 2.820

=====

6
Lattice="3.631 -0.365 -0.132 0.554 3.607 -0.132 0.485 0.375 12.258" Properties=species:S:1:pos:R:3 comment="PmSmIn4 PBE optimized geometry" de_polymorph_mev_per_atom=148 dos_at_fermi_per_ev_atom=0.74 total_magnetization_mub_per_cell=0.19 total_energy_ry_per_atom=-0.27318 crystal_system=orthorhombic pbc="T T T"
Sm 0.000 0.000 0.000
In 2.178 1.687 2.017
In 0.157 0.122 3.957
Pm 2.335 1.809 5.997
In 2.492 1.930 9.976
In 4.513 3.495 8.037

=====

14
Lattice="10.908 0.000 0.000 0.000 5.081 -4.184 0.000 -1.018 9.112" Properties=species:S:1:pos:R:3 comment="Pm2Sm4In PBE optimized geometry" de_polymorph_mev_per_atom=24 dos_at_fermi_per_ev_atom=1.40 total_magnetization_mub_per_cell=0.00 total_energy_ry_per_atom=-0.32959 crystal_system=orthorhombic pbc="T T T"
Sm 8.182 4.221 -2.640
Sm 1.674 1.753 2.130
Sm 7.128 -0.230 4.889
Sm 9.234 2.311 2.797
Sm 8.179 1.680 -0.548
Pm 10.459 0.493 5.764
Pm 0.449 3.570 -0.837
In 5.454 2.540 -2.092
Sm 2.728 2.383 5.475
Pm 5.903 3.033 3.672
Pm 5.005 1.030 1.255
Sm 3.780 4.293 0.038
Sm 2.725 -0.158 7.567
In 0.000 0.000 0.000

=====

8
Lattice="7.129 0.006 0.000 0.006 7.129 0.001 -3.568 -3.569 5.045" Properties=species:S:1:pos:R:3 comment="Pm2Sm5In PBE optimized geometry" de_polymorph_mev_per_atom=33 dos_at_fermi_per_ev_atom=1.25 total_magnetization_mub_per_cell=0.00 total_energy_ry_per_atom=-0.33494 crystal_system=orthorhombic pbc="T T T"
Pm 0.003 3.562 2.242
Sm -1.780 1.779 4.766
Sm -1.783 -1.785 4.763
Sm 1.780 -1.782 4.763
In 0.000 -0.001 2.239
Sm 1.784 1.782 4.766
Pm 3.565 0.004 2.241
Sm 3.568 3.567 2.244

=====

8
Lattice="5.248 0.000 1.549 2.395 4.669 1.549 -0.012 -0.008 9.705" Properties=species:S:1:pos:R:3 comment="PmSm4In3 PBE optimized geometry" dos_at_fermi_per_ev_atom=1.36 total_magnetization_mub_per_cell=1.91 total_energy_ry_per_atom=-0.31638 crystal_system=trigonal pbc="T T T"
Sm 6.638 4.055 6.503
In 3.815 2.331 6.402
In 1.987 1.214 2.931
Sm 0.993 0.606 6.300
Pm 0.000 0.000 0.000
In 5.643 3.447 9.873
Sm 2.933 1.792 9.390
Sm 4.697 2.870 3.413

=====

9
Lattice="-3.777 3.035 0.434 -3.002 -3.800 0.453 1.599 0.215 12.413" Properties=species:S:1:pos:R:3 comment="Pm6SmIn2 PBE optimized geometry" de_polymorph_mev_per_atom=115 dos_at_fermi_per_ev_atom=1.29 total_magnetization_mub_per_cell=0.00 total_energy_ry_per_atom=-0.32206 crystal_system=tetragonal pbc="T T T"
Pm 0.799 0.108 6.206
Pm -1.443 1.578 3.677
In -3.214 -0.359 1.807
Pm -0.348 -1.745 9.179
Sm 0.000 0.000 0.000
In -1.966 -0.191 11.492
Pm -1.055 -1.840 3.687
Pm -2.590 -0.275 6.650
Pm -0.735 1.673 9.169

=====

11
Lattice="-0.226 4.417 1.286 -3.375 -1.034 2.959 13.376 -4.642 10.048" Properties=species:S:1:pos:R:3 comment="Pm2Sm6In3 PBE optimized geometry" dos_at_fermi_per_ev_atom=1.23 total_magnetization_mub_per_cell=0.00 total_energy_ry_per_atom=-0.30932 crystal_system=tetragonal pbc="T T T"
Sm 3.139 0.433 7.315
Sm 1.250 -1.265 4.568
Sm 8.526 0.007 9.725
In 4.476 -1.141 4.706
Pm 10.572 -2.694 11.115
Sm 6.637 -1.692 6.978
In 0.000 0.000 0.000
Sm 2.824 1.460 3.731
In 5.300 -0.118 9.587
Pm -0.797 1.436 3.178
Sm 6.951 -2.719 10.562

=====

11
Lattice="-0.532 -4.582 0.351 2.629 -0.593 -3.759 13.555 1.683 12.061" Properties=species:S:1:pos:R:3 comment="Pm6Sm3In2 PBE optimized geometry" dos_at_fermi_per_ev_atom=1.72 total_magnetization_mub_per_cell=1.28 total_energy_ry_per_atom=-0.31401 crystal_system=tetragonal pbc="T T T"
In 10.463 -0.648 7.420
In 5.189 -2.844 1.232
Pm 2.079 -2.436 1.839
Pm 7.954 -0.493 5.641
Pm 13.573 -1.056 6.814
Sm 4.868 -0.301 3.452
Pm 7.698 -2.999 3.011
Pm 11.992 -3.050 8.869
Sm 10.784 -3.190 5.200
Pm 3.660 -0.442 -0.216
Sm 0.000 0.000 0.000

=====

15
Lattice="11.836 -0.204 -0.293 -5.876 7.126 -0.705 -5.876 -3.135 6.438" Properties=species:S:1:pos:R:3 comment="Pm3Sm8In4 PBE optimized geometry" dos_at_fermi_per_ev_atom=1.29 total_magnetization_mub_per_cell=0.00 total_energy_ry_per_atom=-0.30642 crystal_system=monoclinic pbc="T T T"
Sm -4.088 2.374 3.410
Sm 0.042 -0.769 4.574
Sm -5.876 -0.504 4.606
In -2.938 3.563 -0.353
In 0.000 0.000 0.000
Sm -8.824 3.469 4.983
Sm 4.171 1.413 2.030
Pm 2.980 3.461 -0.499
Sm 0.042 4.556 0.866
Pm 2.980 -1.670 3.073
In 5.918 -0.102 -0.146
Pm 0.042 1.894 2.720
Sm 8.907 0.318 0.457
Sm -5.876 4.495 1.127
In -2.938 -1.568 3.219

=====

11
Lattice="3.765 0.000 0.000 0.000 8.951 0.000 -1.882 -4.475 10.668" Properties=species:S:1:pos:R:3 comment="Pm2Sm5In4 PBE optimized geometry" de_polymorph_mev_per_atom=127 dos_at_fermi_per_ev_atom=1.09 total_magnetization_mub_per_cell=0.00 total_energy_ry_per_atom=-0.30546 crystal_system=orthorhombic pbc="T T T"
Sm 1.882 -2.598 7.364
In 0.000 0.000 5.897
Sm 0.000 1.877 3.304
Pm 0.000 0.000 8.945
In 1.882 4.475 4.771
In 0.000 6.484 0.000
Pm 1.882 4.475 1.724
Sm 1.882 0.000 0.000
Sm 1.882 2.598 7.364
In 0.000 2.467 0.000
Sm 0.000 7.074 3.304

=====

16
Lattice="7.122 0.955 0.000 -0.956 7.122 0.000 0.000 0.000 10.185" Properties=species:S:1:pos:R:3 comment="PmSm14In PBE optimized geometry" dos_at_fermi_per_ev_atom=1.34 total_magnetization_mub_per_cell=0.00 total_energy_ry_per_atom=-0.34024 crystal_system=tetragonal pbc="T T T"
Sm 2.073 4.810 5.092
Sm 3.603 6.813 2.510
Sm 0.544 2.806 7.675
Sm 5.631 5.285 0.000
Sm 2.552 1.252 0.000
Pm 6.112 1.726 0.000
Sm 3.603 6.813 7.675
Sm 5.635 5.288 5.092
Sm 4.078 3.279 7.672
Sm 4.078 3.279 2.512
Sm 0.069 6.339 2.508
Sm 0.069 6.339 7.677
Sm 0.544 2.806 2.510
Sm 2.551 1.248 5.092
In 2.073 4.810 0.000
Sm 6.114 1.725 5.092